A relaxed structure of TlFeBiF6. Source: Alexandria via LeMat-Bulk, functional PBE with a Hubbard U.

Structure (POSCAR):
```
TlFeBiF6
1.0
5.992 0.000 0.000
-2.996 5.189 0.000
0.000 0.000 11.434
Tl Bi F Fe
2 2 12 2
direct
0.000 0.000 0.500 Tl
0.000 0.000 0.000 Tl
0.333 0.667 0.750 Bi
0.667 0.333 0.250 Bi
0.978 0.367 0.649 F
0.389 0.367 0.851 F
0.611 0.633 0.149 F
0.389 0.022 0.649 F
0.978 0.611 0.851 F
0.022 0.389 0.149 F
0.022 0.633 0.351 F
0.611 0.978 0.351 F
0.367 0.389 0.351 F
0.633 0.611 0.649 F
0.367 0.978 0.149 F
0.633 0.022 0.851 F
0.333 0.667 0.250 Fe
0.667 0.333 0.750 Fe
```

Computed properties:
Its space group is No. 163. As for the mass density: 5.448 g cm⁻³. The total energy comes out at -4.743 eV per atom. The density of states at the Fermi level is 6.80 states/eV/f.u.